A plane-wave DFT calculation with PBE was carried out for a relaxed Ca2MgUS6 crystal.

Unit cell a=6.6160 b=7.1378 c=9.6694 alpha=90.00 beta=88.39 gamma=90.00
Positions (direct):
Ca 0.0326 0.9103 0.2587
Ca 0.5326 0.5897 0.7587
Ca 0.9674 0.0897 0.7413
Ca 0.4674 0.4103 0.2413
Mg 0.5000 0.0000 0.0000
Mg 0.0000 0.5000 0.5000
U 0.5000 0.0000 0.5000
U 0.0000 0.5000 0.0000
S 0.3106 0.6896 0.0606
S 0.8106 0.8104 0.5606
S 0.6894 0.3104 0.9394
S 0.1894 0.1896 0.4394
S 0.3193 0.6957 0.4334
S 0.8193 0.8043 0.9334
S 0.6807 0.3043 0.5666
S 0.1807 0.1957 0.0666
S 0.8733 0.5402 0.2496
S 0.3733 0.9598 0.7496
S 0.1267 0.4598 0.7504
S 0.6267 0.0402 0.2504

crystal system: monoclinic
formation energy (no corrections): -150.7 kJ per mole of atoms
theoretical density: 3.9 g/cm3
energy: -5.727 eV/atom

***

A plane-wave DFT calculation with PBE was carried out for a relaxed CaMg2ZrS crystal.

Unit cell a=5.5047 b=5.1915 c=5.5047 alpha=90.00 beta=90.00 gamma=90.00
Positions (direct):
Mg 0.0000 0.0000 0.5000
Mg 0.5000 0.0000 0.0000
Ca 0.0000 0.0000 0.0000
S 0.5000 0.5000 0.5000
Zr 0.0000 0.5000 0.0000

crystal system: tetragonal
formation energy (no corrections): 131.2 kJ per mole of atoms
theoretical density: 2.2 g/cm3
energy: -2.214 eV/atom